1.
This record from Alexandria describes a relaxed TbPrCuIr crystal. The functional is PBE-GGA.

Results
- Theoretical density: 10.5 g/cm3
- Energy relative to the elements: -457 meV/atom
- Fermi-level density of states: 12.70 states/eV per cell
- Offset from the most stable computed form: 38 meV per atom

a = 7.0584 Å, b = 7.0584 Å, c = 7.0584 Å
α = 90.00°, β = 90.00°, γ = 90.00°
Sites, in units of the cell vectors:
Tb1 0.0000 0.0000 0.0000
Tb2 0.0000 0.5000 0.5000
Tb3 0.5000 0.0000 0.5000
Tb4 0.5000 0.5000 0.0000
Pr1 0.0000 0.0000 0.5000
Pr2 0.0000 0.5000 0.0000
Pr3 0.5000 0.0000 0.0000
Pr4 0.5000 0.5000 0.5000
Cu1 0.2500 0.2500 0.7500
Cu2 0.2500 0.7500 0.2500
Cu3 0.7500 0.2500 0.2500
Cu4 0.7500 0.7500 0.7500
Ir1 0.2500 0.2500 0.2500
Ir2 0.2500 0.7500 0.7500
Ir3 0.7500 0.2500 0.7500
Ir4 0.7500 0.7500 0.2500

2.
This record from Alexandria describes a relaxed LaSnTe2Au crystal. The functional is PBE-GGA.

Results
- Theoretical density: 6.1 g/cm3
- Total energy: -17.30 eV per cell
- Fermi-level density of states: 4.00 states/eV per cell

a = 5.5850 Å, b = 5.5850 Å, c = 6.1966 Å
α = 90.00°, β = 90.00°, γ = 90.00°
Sites, in units of the cell vectors:
La1 0.0000 0.0000 0.0000
Sn1 0.0000 0.0000 0.5000
Te1 0.0000 0.5000 0.5000
Te2 0.5000 0.0000 0.5000
Au1 0.5000 0.5000 0.0000

3.
This record from Alexandria describes a relaxed HgAs2BrCl crystal. The functional is PBE-GGA.

Results
- Theoretical density: 4.9 g/cm3
- Total energy: -9.31 eV per cell
- Fermi-level density of states: 4.62 states/eV per cell

a = 4.7519 Å, b = 4.7519 Å, c = 7.0329 Å
α = 90.00°, β = 90.00°, γ = 90.00°
Sites, in units of the cell vectors:
Hg1 0.0000 0.0000 0.0000
As1 0.0000 0.5000 0.5000
As2 0.5000 0.0000 0.5000
Br1 0.5000 0.5000 0.0000
Cl1 0.5000 0.5000 0.5000

4.
This record from Alexandria describes a relaxed Ag3Sb4 crystal. The functional is PBE-GGA.

Results
- Theoretical density: 8.1 g/cm3
- Fermi-level density of states: 4.11 states/eV per cell
- Offset from the most stable computed form: 42 meV per atom

a = 5.6735 Å, b = 5.6735 Å, c = 5.9722 Å
α = 90.00°, β = 90.00°, γ = 120.00°
Sites, in units of the cell vectors:
Ag1 0.0000 0.5000 0.0000
Ag2 0.5000 0.0000 0.0000
Ag3 0.5000 0.5000 0.0000
Sb1 0.0000 0.0000 0.2442
Sb2 0.0000 0.0000 0.7558
Sb3 0.3333 0.6667 0.5000
Sb4 0.6667 0.3333 0.5000